Entry 1:
MnZnAsRu after structural relaxation. Source: Alexandria, functional GGA-PBE.

abc: 6.0968 6.0968 6.0968
angles: 90.00 90.00 90.00
Space group F-43m (No. 216)
Symmetry-distinct sites (fractional):
Mn: 0.0000 0.0000 0.0000 (multiplicity 4)
Zn: 0.2500 0.2500 0.2500 (multiplicity 4)
As: 0.2500 0.2500 0.7500 (multiplicity 4)
Ru: 0.0000 0.0000 0.5000 (multiplicity 4)

Properties
**Energy**: -24.24 eV per formula unit
**Magnetization**: 0.862 μB/atom
**Density of states at the Fermi level**: 11.7 states/eV per cell
**Formation energy from the elements**: 32 meV per atom


Entry 2:
Pa3Si2Pt5 after structural relaxation. Source: Alexandria, functional GGA-PBE.

abc: 11.4134 12.0791 5.7310
angles: 90.00 90.00 90.00
Space group Ibam (No. 72)
Symmetry-distinct sites (fractional):
Pa: 0.0000 0.0000 0.2500 (multiplicity 4)
Pa: 0.2154 0.3869 0.0000 (multiplicity 8)
Si: 0.1346 0.1526 0.0000 (multiplicity 8)
Pt: 0.0000 0.2583 0.2500 (multiplicity 8)
Pt: 0.0000 0.5000 0.2500 (multiplicity 4)
Pt: 0.1651 0.3747 0.5000 (multiplicity 8)

Properties
**Energy**: -76.04 eV per formula unit
**Magnetization**: 0.104 μB/atom
**E_form (uncorrected)**: -0.65 eV per atom
**Density of states at the Fermi level**: 42.2 states/eV per cell


Entry 3:
Pa2Be3Ni12Pt after structural relaxation. Source: Alexandria, functional GGA-PBE.

abc: 8.3159 8.3159 11.7281
angles: 90.00 90.00 120.00
Space group R-3m (No. 166, hexagonal axes)
Symmetry-distinct sites (fractional):
Pa: 0.0000 0.0000 0.1903 (multiplicity 6)
Be: 0.0000 0.5000 0.0000 (multiplicity 9)
Ni: 0.0019 0.5009 0.3904 (multiplicity 18)
Ni: 0.0095 0.5048 0.8102 (multiplicity 18)
Pt: 0.0000 0.0000 0.5000 (multiplicity 3)

Properties
**Energy**: -107.05 eV per formula unit
**Magnetization**: 0.000 μB/atom
**Density of states at the Fermi level**: 26.1 states/eV per cell
**Formation energy from the elements**: -81 meV per atom


Entry 4:
DyUCl6 after structural relaxation. Source: Alexandria, functional GGA-PBE.

abc: 6.7738 12.3946 6.7710
angles: 90.00 105.71 90.00
Space group C2/m (No. 12)
Symmetry-distinct sites (fractional):
Dy: 0.0000 0.0000 0.0000 (multiplicity 2)
U: 0.0000 0.5000 0.5000 (multiplicity 2)
Cl: 0.2405 0.1442 0.2424 (multiplicity 8)
Cl: 0.2473 0.0000 0.7564 (multiplicity 4)

Properties
**Energy**: -42.54 eV per formula unit
**Magnetization**: 0.375 μB/atom
**E_form (uncorrected)**: -1.95 eV per atom
**Density of states at the Fermi level**: 5.6 states/eV per cell